No. 1
A plane-wave DFT calculation with GGA-PBE was carried out for a geometry-optimized TaTeCl2 structure.

abc: 3.144 5.409 4.837
angles: 90.00 90.00 90.00
Each line ends with the local moment (μB).
Fractional coordinates of all 4 atoms:
1 Cl 0.000 0.000 0.000  -0.02
2 Cl 0.500 0.500 0.000  0.03
3 Te 0.000 0.500 0.500  -0.03
4 Ta 0.500 0.000 0.500  0.76

## Properties
formation energy from raw total energies	0.347	eV/atom
total moment	1.1	μB/cell
excess energy over the best structure of this formula in the dataset	1070	meV per atom
DFT total energy	-4.33	eV per atom

=====

No. 2
A plane-wave DFT calculation with GGA-PBE was carried out for a geometry-optimized TaTe2Cl structure.

abc: 4.992 4.992 4.992
angles: 60.00 60.00 60.00
Fractional coordinates of all 4 atoms:
1 Cl 0.500 0.500 0.500
2 Ta 0.250 0.250 0.250
3 Te 0.000 0.000 0.000
4 Te 0.750 0.750 0.750

## Properties
formation energy from raw total energies	0.435	eV/atom
total moment	0.0	μB/cell
excess energy over the best structure of this formula in the dataset	924	meV per atom
DFT total energy	-4.56	eV per atom

=====

No. 3
A plane-wave DFT calculation with GGA-PBE was carried out for a geometry-optimized TaTeCl2 structure.

abc: 3.387 3.387 12.527
angles: 90.00 90.00 127.63
Fractional coordinates of all 4 atoms:
1 Cl 0.000 0.000 0.093
2 Cl 0.000 0.000 0.407
3 Te 0.500 0.500 0.750
4 Ta 0.500 0.500 0.250

## Properties
formation energy from raw total energies	-0.349	eV/atom
total moment	0.0	μB/cell
excess energy over the best structure of this formula in the dataset	374	meV per atom
DFT total energy	-5.02	eV per atom

=====

No. 4
A plane-wave DFT calculation with GGA-PBE was carried out for a geometry-optimized TaTeCl2 structure.

abc: 5.089 5.089 3.174
angles: 90.00 90.00 90.00
Fractional coordinates of all 4 atoms:
1 Cl 0.000 0.000 0.000
2 Cl 0.500 0.500 0.000
3 Te 0.000 0.500 0.500
4 Ta 0.500 0.000 0.500

## Properties
formation energy from raw total energies	0.725	eV/atom
total moment	0.0	μB/cell
excess energy over the best structure of this formula in the dataset	1448	meV per atom
DFT total energy	-3.95	eV per atom

=====

No. 5
A plane-wave DFT calculation with GGA-PBE was carried out for a geometry-optimized TaTe4Cl structure.

abc: 6.194 6.194 6.194
angles: 60.00 60.00 60.00
Each line ends with the local moment (μB).
Fractional coordinates of all 6 atoms:
1 Ta 0.000 0.000 0.000  1.82
2 Te 0.876 0.375 0.375  -0.08
3 Te 0.375 0.375 0.876  -0.08
4 Te 0.375 0.876 0.375  -0.08
5 Te 0.375 0.375 0.375  -0.08
6 Cl 0.750 0.750 0.750  0.00

## Properties
formation energy from raw total energies	0.847	eV/atom
total moment	2.2	μB/cell
DFT total energy	-3.53	eV per atom

=====

No. 6
A plane-wave DFT calculation with GGA-PBE was carried out for a geometry-optimized TaTeCl2 structure.

abc: 6.998 6.998 7.167
angles: 59.84 59.84 27.04
Fractional coordinates of all 4 atoms:
1 Cl 0.994 0.994 0.109
2 Cl 0.148 0.148 0.359
3 Te 0.851 0.851 0.672
4 Ta 0.508 0.508 0.359

## Properties
formation energy from raw total energies	-0.723	eV/atom
total moment	0.0	μB/cell
excess energy over the best structure of this formula in the dataset	0	meV per atom
DFT total energy	-5.39	eV per atom

=====

No. 7
A plane-wave DFT calculation with GGA-PBE was carried out for a geometry-optimized TaTe2Cl structure.

abc: 3.474 5.065 5.072
angles: 90.00 90.00 90.00
Fractional coordinates of all 4 atoms:
1 Cl 0.500 0.000 0.500
2 Ta 0.000 0.500 0.500
3 Te 0.000 0.000 0.000
4 Te 0.500 0.500 0.000

## Properties
formation energy from raw total energies	0.606	eV/atom
total moment	0.0	μB/cell
excess energy over the best structure of this formula in the dataset	1094	meV per atom
DFT total energy	-4.39	eV per atom

=====

No. 8
A plane-wave DFT calculation with GGA-PBE was carried out for a geometry-optimized Ta2TeCl2 structure.

abc: 6.445 6.445 6.445
angles: 141.63 141.63 55.38
Fractional coordinates of all 5 atoms:
1 Ta 0.250 0.750 0.500
2 Ta 0.750 0.250 0.500
3 Te 0.000 0.000 0.000
4 Cl 0.628 0.628 0.000
5 Cl 0.372 0.372 0.000

## Properties
formation energy from raw total energies	0.342	eV/atom
total moment	0.0	μB/cell
DFT total energy	-5.77	eV per atom

=====

No. 9
A plane-wave DFT calculation with GGA-PBE was carried out for a geometry-optimized TaTeCl2 structure.

abc: 4.890 5.629 3.631
angles: 72.37 87.41 114.82
Each line ends with the local moment (μB).
Fractional coordinates of all 4 atoms:
1 Cl 0.000 0.000 0.000  0.01
2 Cl 0.500 0.000 0.500  0.01
3 Te 0.500 0.500 0.000  -0.06
4 Ta 0.000 0.500 0.500  0.90

## Properties
formation energy from raw total energies	0.308	eV/atom
total moment	1.2	μB/cell
excess energy over the best structure of this formula in the dataset	1031	meV per atom
DFT total energy	-4.36	eV per atom

=====

No. 10
A plane-wave DFT calculation with GGA-PBE was carried out for a geometry-optimized Ta2TeCl structure.

abc: 3.500 3.502 6.890
angles: 90.00 90.00 90.00
Fractional coordinates of all 4 atoms:
1 Cl 0.500 0.500 0.750
2 Ta 0.000 0.000 0.055
3 Ta 0.000 0.000 0.445
4 Te 0.500 0.500 0.250

## Properties
formation energy from raw total energies	0.490	eV/atom
total moment	0.0	μB/cell
excess energy over the best structure of this formula in the dataset	647	meV per atom
DFT total energy	-6.68	eV per atom

=====

No. 11
A plane-wave DFT calculation with GGA-PBE was carried out for a geometry-optimized TaTeCl2 structure.

abc: 8.732 8.732 8.732
angles: 23.40 23.40 23.40
Fractional coordinates of all 4 atoms:
1 Cl 0.008 0.008 0.008
2 Cl 0.230 0.230 0.230
3 Te 0.760 0.760 0.760
4 Ta 0.502 0.502 0.502

## Properties
formation energy from raw total energies	-0.404	eV/atom
total moment	0.0	μB/cell
excess energy over the best structure of this formula in the dataset	319	meV per atom
DFT total energy	-5.08	eV per atom

=====

No. 12
A plane-wave DFT calculation with GGA-PBE was carried out for a geometry-optimized TaTe2Cl structure.

abc: 7.222 7.222 7.517
angles: 61.29 61.29 90.00
Fractional coordinates of all 8 atoms:
1 Cl 0.500 0.500 0.000
2 Cl 0.250 0.750 0.500
3 Te 0.688 0.125 0.250
4 Te 0.062 0.625 0.250
5 Te 0.375 0.312 0.750
6 Te 0.875 0.938 0.750
7 Ta 0.000 0.000 0.000
8 Ta 0.750 0.250 0.500

## Properties
formation energy from raw total energies	0.079	eV/atom
total moment	0.0	μB/cell
excess energy over the best structure of this formula in the dataset	568	meV per atom
DFT total energy	-4.92	eV per atom